w) First-principles (PBE-GGA) data for a relaxed structure of Nd2ErBi, as listed in Alexandria.

```
data_Nd2ErBi
_symmetry_space_group_name_H-M 'R 3 m'
_symmetry_Int_Tables_number 160
_symmetry_space_group_name_Hall 'R 3 -2"'
_cell_length_a 4.1526
_cell_length_b 4.1526
_cell_length_c 28.8211
_cell_angle_alpha 90.00
_cell_angle_beta 90.00
_cell_angle_gamma 120.00
loop_
_atom_site_label
_atom_site_fract_x
_atom_site_fract_y
_atom_site_fract_z
Nd1 0.0000 0.0000 0.0000
Nd2 0.0000 0.0000 0.1899
Er1 0.0000 0.0000 0.4281
Bi1 0.0000 0.0000 0.5948
```

Results
ρ = 7.69 g/cm3
Size of the total moment = 2.49 μB per cell

x) First-principles (PBE-GGA) data for a relaxed structure of Nd2ErBi, as listed in Alexandria.

```
data_Nd2ErBi
_symmetry_space_group_name_H-M 'P 4/m m m'
_symmetry_Int_Tables_number 123
_symmetry_space_group_name_Hall '-P 4 2'
_cell_length_a 4.936
_cell_length_b 4.936
_cell_length_c 4.980
_cell_angle_alpha 90.00
_cell_angle_beta 90.00
_cell_angle_gamma 90.00
loop_
_atom_site_label
_atom_site_fract_x
_atom_site_fract_y
_atom_site_fract_z
Nd1 0.000 0.500 0.000
Er1 0.000 0.000 0.500
Bi1 0.500 0.500 0.500
```

Results
ρ = 9.10 g/cm3
Size of the total moment = 0.00 μB per cell

y) First-principles (PBE-GGA) data for a relaxed structure of Nd2ErBi, as listed in Alexandria.

```
data_Nd2ErBi
_symmetry_space_group_name_H-M 'R -3 m'
_symmetry_Int_Tables_number 166
_symmetry_space_group_name_Hall '-R 3 2"'
_cell_length_a 3.5784
_cell_length_b 3.5784
_cell_length_c 37.0611
_cell_angle_alpha 90.00
_cell_angle_beta 90.00
_cell_angle_gamma 120.00
loop_
_atom_site_label
_atom_site_fract_x
_atom_site_fract_y
_atom_site_fract_z
Nd1 0.0000 0.0000 0.0879
Er1 0.0000 0.0000 0.5000
Bi1 0.0000 0.0000 0.0000
```

Results
ρ = 8.06 g/cm3
Size of the total moment = 0.00 μB per cell

What is the most stable structure shown above? It is x).